Below is an optimized crystal structure of BaMn2Tl, with properties calculated at the GGA-PBE level.

The energy relative to the elements is 0.573 eV per atom. For the volume, the calculation gives 111.1 Å³ per cell.

The structure belongs to space group P2/m (No. 10); the cell edges are 3.471, 4.792 and 6.798 Å and the angles 90.00°, 100.69° and 90.00°. The inequivalent atoms are Ba at (0.000, 0.000, 0.000), Mn at (0.305, 0.500, 0.667) and Tl at (0.500, 0.000, 0.500).

---

Below is an optimized crystal structure of Ba2MnTl, with properties calculated at the GGA-PBE level.

The energy relative to the elements is 0.156 eV per atom. For the volume, the calculation gives 149.4 Å³ per cell.

The structure belongs to space group Pmmm (No. 47); the cell edges are 4.164, 4.267 and 8.409 Å and the angles 90.00°, 90.00° and 90.00°. The inequivalent atoms are Ba at (0.000, 0.000, 0.241), Mn at (0.500, 0.500, 0.000) and Tl at (0.500, 0.500, 0.500).

---

Below is an optimized crystal structure of BaMnTl, with properties calculated at the GGA-PBE level.

The energy relative to the elements is 0.194 eV per atom. For the volume, the calculation gives 625.6 Å³ per cell.

The structure belongs to space group R3m (No. 160, hexagonal axes); the cell edges are 4.7035, 4.7035 and 32.6542 Å and the angles 90.00°, 90.00° and 120.00°. The inequivalent atoms are Ba at (0.0000, 0.0000, 0.0000), Ba at (0.0000, 0.0000, 0.4845), Mn at (0.0000, 0.0000, 0.2337), Mn at (0.0000, 0.0000, 0.8924), Tl at (0.0000, 0.0000, 0.5946) and Tl at (0.0000, 0.0000, 0.7418).

---

Below is an optimized crystal structure of BaMnTl, with properties calculated at the GGA-PBE level.

The energy relative to the elements is 0.142 eV per atom. For the volume, the calculation gives 372.0 Å³ per cell.

The structure belongs to space group Cm (No. 8); the cell edges are 12.034, 5.129 and 8.426 Å and the angles 90.00°, 134.32° and 90.00°. The inequivalent atoms are Ba at (0.000, 0.000, 0.000), Ba at (0.097, 0.000, 0.597), Mn at (0.387, 0.000, 0.211), Mn at (0.387, 0.000, 0.563), Tl at (0.215, 0.500, 0.020) and Tl at (0.215, 0.500, 0.411).

---

Below is an optimized crystal structure of BaMn2V, with properties calculated at the GGA-PBE level.

The energy relative to the elements is 0.898 eV per atom. For the volume, the calculation gives 362.6 Å³ per cell.

The structure belongs to space group Fm-3m (No. 225); the cell edges are 7.131, 7.131 and 7.131 Å and the angles 90.00°, 90.00° and 90.00°. The inequivalent atoms are Ba at (0.000, 0.000, 0.000), Mn at (0.250, 0.250, 0.250) and V at (0.000, 0.000, 0.500).

---

Below is an optimized crystal structure of BaMn3V, with properties calculated at the GGA-PBE level.

The energy relative to the elements is 0.721 eV per atom. For the volume, the calculation gives 114.1 Å³ per cell.

The structure belongs to space group Pm-3m (No. 221); the cell edges are 4.850, 4.850 and 4.850 Å and the angles 90.00°, 90.00° and 90.00°. The inequivalent atoms are Ba at (0.000, 0.000, 0.000), Mn at (0.000, 0.500, 0.500) and V at (0.500, 0.500, 0.500).

---

Below is an optimized crystal structure of Ba2MnV, with properties calculated at the GGA-PBE level.

The energy relative to the elements is 0.918 eV per atom. For the volume, the calculation gives 557.7 Å³ per cell.

The structure belongs to space group Fm-3m (No. 225); the cell edges are 8.231, 8.231 and 8.231 Å and the angles 90.00°, 90.00° and 90.00°. The inequivalent atoms are Ba at (0.250, 0.250, 0.250), Mn at (0.000, 0.000, 0.000) and V at (0.000, 0.000, 0.500).

---

Below is an optimized crystal structure of BaMnV2, with properties calculated at the GGA-PBE level.

The energy relative to the elements is 1.048 eV per atom. For the volume, the calculation gives 331.8 Å³ per cell.

The structure belongs to space group Fm-3m (No. 225); the cell edges are 6.923, 6.923 and 6.923 Å and the angles 90.00°, 90.00° and 90.00°. The inequivalent atoms are Ba at (0.000, 0.000, 0.000), Mn at (0.000, 0.000, 0.500) and V at (0.250, 0.250, 0.250).

---

Below is an optimized crystal structure of Ba3MnV, with properties calculated at the GGA-PBE level.

The energy relative to the elements is 0.999 eV per atom. For the volume, the calculation gives 230.7 Å³ per cell.

The structure belongs to space group Pm-3m (No. 221); the cell edges are 6.133, 6.133 and 6.133 Å and the angles 90.00°, 90.00° and 90.00°. The inequivalent atoms are Ba at (0.000, 0.000, 0.500), Mn at (0.000, 0.000, 0.000) and V at (0.500, 0.500, 0.500).

---

Below is an optimized crystal structure of BaMn3V, with properties calculated at the GGA-PBE level.

The energy relative to the elements is 2.354 eV per atom. For the volume, the calculation gives 134.8 Å³ per cell.

The structure belongs to space group Pm-3m (No. 221); the cell edges are 5.127, 5.127 and 5.127 Å and the angles 90.00°, 90.00° and 90.00°. The inequivalent atoms are Ba at (0.000, 0.000, 0.000), Mn at (0.000, 0.000, 0.500) and V at (0.500, 0.500, 0.500).

---

Below is an optimized crystal structure of BaMn2V, with properties calculated at the GGA-PBE level.

The energy relative to the elements is 0.825 eV per atom. For the volume, the calculation gives 446.3 Å³ per cell.

The structure belongs to space group I4_1/amd (No. 141, origin choice 2); the cell edges are 5.316, 5.316 and 15.794 Å and the angles 90.00°, 90.00° and 90.00°. The inequivalent atoms are Ba at (0.000, 0.250, 0.375), Mn at (0.000, 0.000, 0.000) and V at (0.000, 0.250, 0.875).

---

Below is an optimized crystal structure of BaMnV2, with properties calculated at the GGA-PBE level.

The energy relative to the elements is 1.057 eV per atom. For the volume, the calculation gives 447.9 Å³ per cell.

The structure belongs to space group I4_1/amd (No. 141, origin choice 2); the cell edges are 5.316, 5.316 and 15.849 Å and the angles 90.00°, 90.00° and 90.00°. The inequivalent atoms are Ba at (0.000, 0.250, 0.375), Mn at (0.000, 0.250, 0.875) and V at (0.000, 0.000, 0.000).